(1)
First-principles (PBE) data for a relaxed NbSb3Ru crystal, as listed in Alexandria.

a b c (Å): 5.0991 5.0991 5.0991
angles (deg): 90.00 90.00 90.00
Last column: magnetic moment on the atom in μB.
Atoms (fractional coordinates):
Sb  0.0000  0.0000  0.5000  -0.03
Sb  0.5000  0.0000  0.0000  0.03
Sb  0.0000  0.5000  0.0000  -0.01
Ru  0.0000  0.0000  0.0000  0.19
Nb  0.5000  0.5000  0.5000  2.51

Values from the calculation:
Energy relative to the lowest polymorph listed for this composition, eV/f.u.: 0.00
Space group: Pm-3m (221)
Total magnetic moment, Bohr magnetons per cell: 3.442

=====

(2)
First-principles (PBE) data for a relaxed NbSbRu2 crystal, as listed in Alexandria.

a b c (Å): 5.8511 5.8511 7.0268
angles (deg): 65.40 65.40 90.00
Atoms (fractional coordinates):
Sb  0.7500  0.2500  0.5000
Ru  0.1394  0.6250  0.2500
Ru  0.6106  0.1250  0.2500
Ru  0.3750  0.3894  0.7500
Nb  0.2500  0.7500  0.5000
Ru  0.8750  0.8606  0.7500
Sb  0.0000  0.0000  0.0000
Nb  0.5000  0.5000  0.0000

Values from the calculation:
Space group: I-42d (122)
Total magnetic moment, Bohr magnetons per cell: 0.000

=====

(3)
First-principles (PBE) data for a relaxed NbSb2Ru crystal, as listed in Alexandria.

a b c (Å): 6.4197 6.4197 7.0811
angles (deg): 63.04 63.04 90.00
Last column: magnetic moment on the atom in μB.
Atoms (fractional coordinates):
Ru  0.0000  0.0000  0.0000  0.16
Sb  0.6513  0.1250  0.2500  -0.02
Ru  0.7500  0.2500  0.5000  0.16
Nb  0.5000  0.5000  0.0000  0.79
Nb  0.2500  0.7500  0.5000  0.79
Sb  0.8750  0.9013  0.7500  -0.02
Sb  0.0987  0.6250  0.2500  -0.03
Sb  0.3750  0.3487  0.7500  -0.02

Values from the calculation:
Space group: I-42d (122)
Total magnetic moment, Bohr magnetons per cell: 2.170

=====

(4)
First-principles (PBE) data for a relaxed NbSb2Ru crystal, as listed in Alexandria.

a b c (Å): 3.1842 3.1842 9.7375
angles (deg): 80.59 80.59 60.00
Atoms (fractional coordinates):
Sb  0.9022  0.9022  0.2933
Ru  0.5000  0.5000  0.5000
Nb  0.0000  0.0000  0.0000
Sb  0.0978  0.0978  0.7067

Values from the calculation:
Space group: R-3m (166)
Total magnetic moment, Bohr magnetons per cell: 0.000

=====

(5)
First-principles (PBE) data for a relaxed Nb5SbRu6 crystal, as listed in Alexandria.

a b c (Å): 4.3415 6.9562 7.6270
angles (deg): 117.13 106.55 90.00
Atoms (fractional coordinates):
Ru  0.8307  0.5953  0.6612
Nb  0.3545  0.3542  0.7083
Nb  0.3196  0.8196  0.6392
Ru  0.5000  0.2243  0.0000
Nb  0.6804  0.1804  0.3608
Nb  0.0000  0.5000  0.0000
Ru  0.1693  0.4047  0.3388
Sb  0.0000  0.0000  0.0000
Nb  0.6455  0.6458  0.2917
Ru  0.8307  0.0659  0.6612
Ru  0.5000  0.7757  0.0000
Ru  0.1693  0.9341  0.3388

Values from the calculation:
Space group: Immm (71)
Total magnetic moment, Bohr magnetons per cell: 0.000

=====

(6)
First-principles (PBE) data for a relaxed NbSb2Ru crystal, as listed in Alexandria.

a b c (Å): 4.7248 4.7248 4.7248
angles (deg): 60.00 60.00 60.00
Atoms (fractional coordinates):
Sb  0.2500  0.2500  0.2500
Ru  0.5000  0.5000  0.5000
Nb  0.0000  0.0000  0.0000
Sb  0.7500  0.7500  0.7500

Values from the calculation:
Space group: Fm-3m (225)
Total magnetic moment, Bohr magnetons per cell: 0.000

=====

DFT total energy / eV/f.u.: -27.29, -29.93, -24.82, -26.41, -113.04, -27.40
Fermi-level density of states / states/eV/cell: 4.10, 4.23, 7.70, 3.73, 10.86, 3.92
Formation energy from raw total energies / meV per atom: 884, 703, 691, 296, -242, 48